Below is TcHg2N2 after structural relaxation, with properties calculated at the GGA-PBE level.

Raw formation energy: 582 meV/atom
Polymorph energy (0 for the lowest one): 0 meV per atom
N(E_F): 5.559 states/eV/cell
M_tot: 0.303 μB per atom

Cell and atoms, written as POSCAR:
```
TcHg2N2
1.0
5.8429 0.0000 0.0000
0.0000 5.8429 0.0000
0.0000 0.0000 5.1978
Tc Hg N
2 4 4
Direct
0.0000 0.0000 0.0000
0.5000 0.5000 0.5000
0.0000 0.5000 0.2500
0.0000 0.5000 0.7500
0.5000 0.0000 0.2500
0.5000 0.0000 0.7500
0.0000 0.0000 0.3858
0.0000 0.0000 0.6142
0.5000 0.5000 0.1142
0.5000 0.5000 0.8858
```